1.
Mg2ZnAg2 after structural relaxation. Source: Alexandria, functional GGA-PBE.

The space group is I4/mmm (No. 139) and the conventional cell measures 4.044, 4.044 and 12.894 Å, with angles of 90.00, 90.00 and 90.00 degrees. The distinct sites, in fractional coordinates, are Mg at (0.000, 0.500, 0.250), Zn at (0.000, 0.000, 0.000) and Ag at (0.000, 0.000, 0.397).

The value obtained for the formation enthalpy at 0 K is 0.82 eV/f.u. As for the magnetization: 0.000 μB per atom.

=====

2.
MgZn2Ag5 after structural relaxation. Source: Alexandria, functional GGA-PBE.

The space group is I4/mmm (No. 139) and the conventional cell measures 6.510, 6.510 and 6.468 Å, with angles of 90.00, 90.00 and 90.00 degrees. The distinct sites, in fractional coordinates, are Mg at (0.000, 0.000, 0.000), Zn at (0.000, 0.500, 0.000), Ag at (0.000, 0.000, 0.500) and Ag at (0.250, 0.250, 0.250).

The value obtained for the formation enthalpy at 0 K is -0.61 eV/f.u. As for the magnetization: 0.000 μB per atom.

=====

3.
Mg6ZnAg8 after structural relaxation. Source: Alexandria, functional GGA-PBE.

The space group is R-3 (No. 148, hexagonal axes) and the conventional cell measures 8.0812, 8.0812 and 15.3847 Å, with angles of 90.00, 90.00 and 120.00 degrees. The distinct sites, in fractional coordinates, are Mg at (0.0239, 0.2466, 0.4073), Zn at (0.0000, 0.0000, 0.0000), Ag at (0.0000, 0.0000, 0.2462) and Ag at (0.0354, 0.2774, 0.9029).

The value obtained for the formation enthalpy at 0 K is -1.20 eV/f.u. As for the magnetization: 0.000 μB per atom.

=====

4.
MgZn2Ag8 after structural relaxation. Source: Alexandria, functional GGA-PBE.

The space group is Immm (No. 71) and the conventional cell measures 4.280, 7.257 and 12.604 Å, with angles of 90.00, 90.00 and 90.00 degrees. The distinct sites, in fractional coordinates, are Mg at (0.000, 0.000, 0.000), Zn at (0.000, 0.000, 0.306), Ag at (0.000, 0.198, 0.500), Ag at (0.000, 0.284, 0.157) and Ag at (0.000, 0.500, 0.349).

The value obtained for the formation enthalpy at 0 K is -0.30 eV/f.u. As for the magnetization: 0.000 μB per atom.

=====

5.
MgZnAg4 after structural relaxation. Source: Alexandria, functional GGA-PBE.

The space group is P2_1/m (No. 11) and the conventional cell measures 4.813, 5.656 and 7.925 Å, with angles of 90.00, 96.41 and 90.00 degrees. The distinct sites, in fractional coordinates, are Mg at (0.224, 0.250, 0.393), Zn at (0.340, 0.250, 0.049), Ag at (0.175, 0.750, 0.070), Ag at (0.245, 0.750, 0.422) and Ag at (0.284, 0.004, 0.741).

The value obtained for the formation enthalpy at 0 K is -0.38 eV/f.u. As for the magnetization: 0.000 μB per atom.

=====

6.
MgZn4Ag6 after structural relaxation. Source: Alexandria, functional GGA-PBE.

The space group is I-42m (No. 121) and the conventional cell measures 6.778, 6.778 and 9.418 Å, with angles of 90.00, 90.00 and 90.00 degrees. The distinct sites, in fractional coordinates, are Mg at (0.000, 0.000, 0.000), Zn at (0.171, 0.171, 0.438), Ag at (0.000, 0.500, 0.000) and Ag at (0.157, 0.157, 0.730).

The value obtained for the formation enthalpy at 0 K is 1.45 eV/f.u. As for the magnetization: 0.000 μB per atom.

=====

7.
MgZn2Ag4 after structural relaxation. Source: Alexandria, functional GGA-PBE.

The space group is C2/m (No. 12) and the conventional cell measures 8.640, 6.700 and 5.351 Å, with angles of 90.00, 125.91 and 90.00 degrees. The distinct sites, in fractional coordinates, are Mg at (0.000, 0.000, 0.000), Zn at (0.000, 0.500, 0.245) and Ag at (0.202, 0.207, 0.704).

The value obtained for the formation enthalpy at 0 K is -0.30 eV/f.u. As for the magnetization: 0.000 μB per atom.

=====

8.
Mg2Zn2Ag7 after structural relaxation. Source: Alexandria, functional GGA-PBE.

The space group is C2/m (No. 12) and the conventional cell measures 5.698, 8.925 and 7.857 Å, with angles of 90.00, 91.57 and 90.00 degrees. The distinct sites, in fractional coordinates, are Mg at (0.000, 0.238, 0.000), Zn at (0.184, 0.500, 0.844), Ag at (0.000, 0.500, 0.500), Ag at (0.134, 0.215, 0.343) and Ag at (0.207, 0.000, 0.809).

The value obtained for the formation enthalpy at 0 K is -0.19 eV/f.u. As for the magnetization: 0.000 μB per atom.

=====

9.
MgZn2Ag after structural relaxation. Source: Alexandria, functional GGA-PBE.

The space group is C2/m (No. 12) and the conventional cell measures 9.376, 3.030 and 4.884 Å, with angles of 90.00, 101.39 and 90.00 degrees. The distinct sites, in fractional coordinates, are Mg at (0.000, 0.000, 0.000), Zn at (0.247, 0.000, 0.741) and Ag at (0.000, 0.500, 0.500).

The value obtained for the formation enthalpy at 0 K is -0.29 eV/f.u. As for the magnetization: 0.000 μB per atom.

=====

10.
MgZn7Ag3 after structural relaxation. Source: Alexandria, functional GGA-PBE.

The space group is C2/m (No. 12) and the conventional cell measures 9.318, 8.980 and 5.113 Å, with angles of 90.00, 113.85 and 90.00 degrees. The distinct sites, in fractional coordinates, are Mg at (0.000, 0.000, 0.000), Zn at (0.000, 0.000, 0.500), Zn at (0.190, 0.265, 0.186), Zn at (0.228, 0.500, 0.539), Ag at (0.000, 0.301, 0.500) and Ag at (0.000, 0.500, 0.000).

The value obtained for the formation enthalpy at 0 K is 1.08 eV/f.u. As for the magnetization: 0.000 μB per atom.

=====

11.
MgZn2Ag after structural relaxation. Source: Alexandria, functional GGA-PBE.

The space group is Pmmm (No. 47) and the conventional cell measures 3.749, 4.208 and 4.258 Å, with angles of 90.00, 90.00 and 90.00 degrees. The distinct sites, in fractional coordinates, are Mg at (0.000, 0.000, 0.000), Zn at (0.000, 0.500, 0.500), Zn at (0.500, 0.000, 0.500) and Ag at (0.500, 0.500, 0.000).

The value obtained for the formation enthalpy at 0 K is -0.31 eV/f.u. As for the magnetization: 0.000 μB per atom.

=====

12.
Mg4ZnAg after structural relaxation. Source: Alexandria, functional GGA-PBE.

The space group is P4/mmm (No. 123) and the conventional cell measures 4.630, 4.630 and 6.408 Å, with angles of 90.00, 90.00 and 90.00 degrees. The distinct sites, in fractional coordinates, are Mg at (0.000, 0.500, 0.247), Zn at (0.000, 0.000, 0.000) and Ag at (0.500, 0.500, 0.500).

The value obtained for the formation enthalpy at 0 K is 0.00 eV/f.u. As for the magnetization: 0.000 μB per atom.

=====

13.
Mg2Zn3Ag4 after structural relaxation. Source: Alexandria, functional GGA-PBE.

The space group is P-1 (No. 2) and the conventional cell measures 4.181, 4.868 and 8.595 Å, with angles of 76.28, 89.95 and 65.04 degrees. The distinct sites, in fractional coordinates, are Mg at (0.181, 0.141, 0.224), Zn at (0.155, 0.186, 0.557), Zn at (0.500, 0.500, 0.000), Ag at (0.158, 0.184, 0.887) and Ag at (0.478, 0.541, 0.662).

The value obtained for the formation enthalpy at 0 K is -1.12 eV/f.u. As for the magnetization: 0.000 μB per atom.

=====

14.
Mg3ZnAg2 after structural relaxation. Source: Alexandria, functional GGA-PBE.

The space group is Cmmm (No. 65) and the conventional cell measures 4.735, 14.228 and 3.261 Å, with angles of 90.00, 90.00 and 90.00 degrees. The distinct sites, in fractional coordinates, are Mg at (0.000, 0.000, 0.000), Mg at (0.000, 0.334, 0.000), Zn at (0.000, 0.500, 0.500) and Ag at (0.000, 0.166, 0.500).

The value obtained for the formation enthalpy at 0 K is -1.15 eV/f.u. As for the magnetization: 0.000 μB per atom.

=====

15.
MgZn10Ag after structural relaxation. Source: Alexandria, functional GGA-PBE.

The space group is Pmmm (No. 47) and the conventional cell measures 4.390, 5.070 and 8.881 Å, with angles of 90.00, 90.00 and 90.00 degrees. The distinct sites, in fractional coordinates, are Mg at (0.000, 0.000, 0.000), Zn at (0.000, 0.000, 0.337), Zn at (0.000, 0.500, 0.171), Zn at (0.500, 0.000, 0.500), Zn at (0.500, 0.248, 0.248), Zn at (0.500, 0.500, 0.000) and Ag at (0.000, 0.500, 0.500).

The value obtained for the formation enthalpy at 0 K is 0.42 eV/f.u. As for the magnetization: 0.000 μB per atom.

=====

16.
MgZnAg2 after structural relaxation. Source: Alexandria, functional GGA-PBE.

The space group is P4/mmm (No. 123) and the conventional cell measures 4.326, 4.326 and 3.679 Å, with angles of 90.00, 90.00 and 90.00 degrees. The distinct sites, in fractional coordinates, are Mg at (0.000, 0.000, 0.000), Zn at (0.500, 0.500, 0.000) and Ag at (0.000, 0.500, 0.500).

The value obtained for the formation enthalpy at 0 K is -0.58 eV/f.u. As for the magnetization: 0.000 μB per atom.

=====

17.
MgZn6Ag12 after structural relaxation. Source: Alexandria, functional GGA-PBE.

The space group is R-3 (No. 148, hexagonal axes) and the conventional cell measures 12.6132, 12.6132 and 7.0007 Å, with angles of 90.00, 90.00 and 120.00 degrees. The distinct sites, in fractional coordinates, are Mg at (0.0000, 0.0000, 0.0000), Zn at (0.0322, 0.2782, 0.3263), Ag at (0.0106, 0.1396, 0.6642) and Ag at (0.0662, 0.5642, 0.6700).

The value obtained for the formation enthalpy at 0 K is -0.89 eV/f.u. As for the magnetization: 0.000 μB per atom.

=====

18.
Mg2Zn3Ag6 after structural relaxation. Source: Alexandria, functional GGA-PBE.

The space group is P-1 (No. 2) and the conventional cell measures 4.825, 4.829 and 8.548 Å, with angles of 97.13, 97.21 and 99.57 degrees. The distinct sites, in fractional coordinates, are Mg at (0.239, 0.233, 0.317), Zn at (0.322, 0.317, 0.673), Zn at (0.500, 0.500, 0.000), Ag at (0.098, 0.690, 0.146), Ag at (0.224, 0.770, 0.501) and Ag at (0.303, 0.903, 0.858).

The value obtained for the formation enthalpy at 0 K is -0.81 eV/f.u. As for the magnetization: 0.000 μB per atom.

=====

19.
MgZn4Ag3 after structural relaxation. Source: Alexandria, functional GGA-PBE.

The space group is Immm (No. 71) and the conventional cell measures 2.831, 9.123 and 10.498 Å, with angles of 90.00, 90.00 and 90.00 degrees. The distinct sites, in fractional coordinates, are Mg at (0.000, 0.000, 0.000), Zn at (0.000, 0.257, 0.131), Ag at (0.000, 0.000, 0.500) and Ag at (0.000, 0.500, 0.270).

The value obtained for the formation enthalpy at 0 K is 0.16 eV/f.u. As for the magnetization: 0.000 μB per atom.

=====

20.
Mg3ZnAg3 after structural relaxation. Source: Alexandria, functional GGA-PBE.

The space group is C2/m (No. 12) and the conventional cell measures 6.072, 9.578 and 9.257 Å, with angles of 90.00, 90.16 and 90.00 degrees. The distinct sites, in fractional coordinates, are Mg at (0.000, 0.167, 0.000), Mg at (0.000, 0.231, 0.500), Mg at (0.005, 0.500, 0.803), Zn at (0.209, 0.500, 0.498), Ag at (0.001, 0.000, 0.267) and Ag at (0.248, 0.252, 0.242).

The value obtained for the formation enthalpy at 0 K is -0.87 eV/f.u. As for the magnetization: 0.000 μB per atom.

=====

21.
Mg3ZnAg after structural relaxation. Source: Alexandria, functional GGA-PBE.

The space group is Pm-3m (No. 221) and the conventional cell measures 5.123, 5.123 and 5.123 Å, with angles of 90.00, 90.00 and 90.00 degrees. The distinct sites, in fractional coordinates, are Mg at (0.000, 0.000, 0.500), Zn at (0.500, 0.500, 0.500) and Ag at (0.000, 0.000, 0.000).

The value obtained for the formation enthalpy at 0 K is 1.27 eV/f.u. As for the magnetization: 0.000 μB per atom.

=====

22.
MgZn2Ag8 after structural relaxation. Source: Alexandria, functional GGA-PBE.

The space group is C2/m (No. 12) and the conventional cell measures 10.273, 9.386 and 4.760 Å, with angles of 90.00, 105.50 and 90.00 degrees. The distinct sites, in fractional coordinates, are Mg at (0.000, 0.000, 0.000), Zn at (0.148, 0.000, 0.557), Ag at (0.077, 0.500, 0.293), Ag at (0.092, 0.246, 0.797) and Ag at (0.232, 0.500, 0.879).

The value obtained for the formation enthalpy at 0 K is 1.71 eV/f.u. As for the magnetization: 0.000 μB per atom.

=====

23.
Mg8ZnAg2 after structural relaxation. Source: Alexandria, functional GGA-PBE.

The space group is C2/m (No. 12) and the conventional cell measures 15.498, 4.713 and 6.740 Å, with angles of 90.00, 113.38 and 90.00 degrees. The distinct sites, in fractional coordinates, are Mg at (0.020, 0.000, 0.260), Mg at (0.110, 0.500, 0.938), Mg at (0.165, 0.500, 0.425), Mg at (0.182, 0.000, 0.745), Zn at (0.000, 0.500, 0.500) and Ag at (0.183, 0.000, 0.171).

The value obtained for the formation enthalpy at 0 K is -1.12 eV/f.u. As for the magnetization: 0.000 μB per atom.